The following is a DFT calculation (PBE) of a geometry-optimized YLu3O structure.

Cell lengths 4.8457, 4.8457, 4.8457 Å; angles 90.00, 90.00, 90.00 degrees
Closest atoms and distances in Å follow each position.
Sites, in units of the cell vectors:
O 0.0000 0.0000 0.0000  6 Lu 2.42
Y 0.5000 0.5000 0.5000  12 Lu 3.43
Lu 0.5000 0.0000 0.0000  2 O 2.42
Lu 0.0000 0.0000 0.5000  2 O 2.42
Lu 0.0000 0.5000 0.0000  2 O 2.42

Properties
Space group: Pm-3m (221)
N(E_F), states/eV/atom: 1.09
Uncorrected formation energy, eV per atom: -1.073
Crystal system: cubic
Calculated volume, A^3/atom: 22.76
Total energy, eV/atom: -6.070

The following is a DFT calculation (PBE) of a geometry-optimized NaGd2Mg structure.

Cell lengths 3.5065, 3.5065, 10.1103 Å; angles 90.00, 90.00, 90.00 degrees
Closest atoms and distances in Å follow each position.
Sites, in units of the cell vectors:
Gd 0.0000 0.0000 0.7834  4 Mg 3.31, 4 Gd 3.51
Gd 0.0000 0.0000 0.2166  4 Mg 3.31, 4 Gd 3.51
Mg 0.5000 0.5000 0.0000  8 Gd 3.31, 4 Mg 3.51
Na 0.5000 0.5000 0.5000  4 Na 3.51, 8 Gd 3.79

Properties
Formation energy from the elements, eV per atom: 0.12
Relative energy among the computed polymorphs, kJ/mol of atoms: 0.0
Space group: P4/mmm (123)
N(E_F), states/eV/atom: 1.53
Crystal system: tetragonal
Calculated volume, A^3/atom: 31.08
Total energy, eV/atom: -7.653

The following is a DFT calculation (PBE) of a geometry-optimized RbAgS2 structure.

Cell lengths 8.9045, 8.9045, 8.9045 Å; angles 25.70, 25.70, 25.70 degrees
Closest atoms and distances in Å follow each position.
Sites, in units of the cell vectors:
Ag 0.5000 0.5000 0.5000  6 S 2.61
Rb 0.0000 0.0000 0.0000  2 S 3.05
S 0.1183 0.1183 0.1183  3 Ag 2.61
S 0.8817 0.8817 0.8817  3 Ag 2.61

Properties
Relative energy among the computed polymorphs, kJ/mol of atoms: 53.4
Space group: R-3m (166)
N(E_F), states/eV/atom: 1.05
Uncorrected formation energy, eV per atom: 0.077
Crystal system: trigonal
Calculated volume, A^3/atom: 29.23
Total energy, eV/atom: -2.942

The following is a DFT calculation (PBE) of a geometry-optimized TmCo4As2 structure.

Cell lengths 3.7023, 7.2144, 7.2144 Å; angles 90.00, 90.00, 90.00 degrees
Closest atoms and distances in Å follow each position.
Sites, in units of the cell vectors:
As 0.5000 0.7204 0.7204  6 Co 2.38-2.39
As 0.0000 0.7796 0.2204  6 Co 2.38-2.39
As 0.5000 0.2796 0.2796  6 Co 2.38-2.39
As 0.0000 0.2204 0.7796  6 Co 2.38-2.39
Co 0.0000 0.0827 0.3490  3 As 2.38-2.39, 5 Co 2.48-2.55
Co 0.5000 0.1510 0.5827  3 As 2.38-2.39, 5 Co 2.48-2.55
Co 0.5000 0.8490 0.4173  3 As 2.38-2.39, 5 Co 2.48-2.55
Co 0.5000 0.4173 0.8490  3 As 2.38-2.39, 5 Co 2.48-2.55
Co 0.0000 0.6510 0.9173  3 As 2.38-2.39, 5 Co 2.48-2.55
Co 0.0000 0.3490 0.0827  3 As 2.38-2.39, 5 Co 2.48-2.55
Co 0.5000 0.5827 0.1510  3 As 2.38-2.39, 5 Co 2.48-2.55
Co 0.0000 0.9173 0.6510  3 As 2.38-2.39, 5 Co 2.48-2.55
Tm 0.0000 0.5000 0.5000  6 As 2.85-2.91, 8 Co 3.18
Tm 0.5000 0.0000 0.0000  6 As 2.85-2.91, 8 Co 3.18

Properties
Formation energy from the elements, eV per atom: -0.50
Space group: P4_2/mnm (136)
N(E_F), states/eV/atom: 1.11
Crystal system: tetragonal
Calculated volume, A^3/atom: 13.76
Total energy, eV/atom: -6.530